A relaxed ZrMnW2 crystal, computed with PBE.

The energy above the most stable polymorph in this dataset comes out at 0.20 eV/f.u. Its formation energy is 0.5 eV per formula unit.

The space group is Pmmm (No. 47) and the conventional cell measures 3.184, 4.424 and 4.594 Å, with angles of 90.00, 90.00 and 90.00 degrees. The asymmetric unit holds Zr at (0.000, 0.000, 0.000), Mn at (0.500, 0.500, 0.000), W at (0.000, 0.500, 0.500) and W at (0.500, 0.000, 0.500).